No. 1
{
  "formula": "KZnCl2",
  "functional": "GGA-PBEsol",
  "state": "optimized geometry",
  "spacegroup": "P4/mmm",
  "rho_g_cm3": 3.254,
  "crystal_system": "tetragonal",
  "formation_energy_uncorrected_mev_per_atom": -886,
  "energy_ev_per_cell": -10.3,
  "de_polymorph_mev_per_atom": 94.9,
  "lattice_angstrom": [[3.5772, 0.0000, 0.0000], [0.0000, 3.5772, 0.0000], [0.0000, 0.0000, 6.9952]],
  "species": ["K", "Zn", "Cl", "Cl"],
  "fractional_positions": [[0.0000, 0.0000, 0.0000], [0.0000, 0.0000, 0.5000], [0.5000, 0.5000, 0.2741], [0.5000, 0.5000, 0.7259]]
}

***

No. 2
{
  "formula": "Na2EuGeSe4",
  "functional": "GGA-PBEsol",
  "state": "optimized geometry",
  "spacegroup": "I-42m",
  "rho_g_cm3": 5.136,
  "crystal_system": "tetragonal",
  "formation_energy_uncorrected_mev_per_atom": -1044,
  "energy_ev_per_cell": -42.1,
  "lattice_angstrom": [[-3.5992, 3.5992, 3.6588], [3.5992, -3.5992, 3.6588], [3.5992, 3.5992, -3.6588]],
  "species": ["Na", "Na", "Eu", "Ge", "Se", "Se", "Se", "Se"],
  "fractional_positions": [[0.0000, 0.5000, 0.5000], [0.5000, 0.0000, 0.5000], [0.0000, 0.0000, 0.0000], [0.5000, 0.5000, 0.0000], [0.1200, 0.5077, 0.0000], [0.4923, 0.4923, 0.6124], [0.5077, 0.1200, 0.0000], [0.8800, 0.8800, 0.3876]]
}

***

No. 3
{
  "formula": "SrZrAu2",
  "functional": "GGA-PBEsol",
  "state": "optimized geometry",
  "spacegroup": "R-3m",
  "rho_g_cm3": 9.201,
  "crystal_system": "trigonal",
  "energy_ev_per_cell": -20.3,
  "de_polymorph_mev_per_atom": 0.0,
  "lattice_angstrom": [[2.0630, 1.1911, 7.0119], [-2.0630, 1.1911, 7.0119], [0.0000, -2.3821, 7.0119]],
  "species": ["Sr", "Zr", "Au", "Au"],
  "fractional_positions": [[0.0000, 0.0000, 0.0000], [0.5000, 0.5000, 0.5000], [0.2313, 0.2313, 0.2313], [0.7687, 0.7687, 0.7687]]
}

***

No. 4
{
  "formula": "Dy3Y",
  "functional": "GGA-PBEsol",
  "state": "optimized geometry",
  "spacegroup": "Pm-3m",
  "rho_g_cm3": 8.048,
  "crystal_system": "cubic",
  "energy_ev_per_cell": -21.7,
  "de_polymorph_mev_per_atom": 3.1,
  "lattice_angstrom": [[4.9177, 0.0000, 0.0000], [0.0000, 4.9177, 0.0000], [0.0000, 0.0000, 4.9177]],
  "species": ["Dy", "Dy", "Dy", "Y"],
  "fractional_positions": [[0.0000, 0.0000, 0.5000], [0.0000, 0.5000, 0.0000], [0.5000, 0.0000, 0.0000], [0.5000, 0.5000, 0.5000]]
}

***

No. 5
{
  "formula": "AgOsW",
  "functional": "GGA-PBEsol",
  "state": "optimized geometry",
  "spacegroup": "F-43m",
  "rho_g_cm3": 14.803,
  "crystal_system": "cubic",
  "energy_ev_per_cell": -26.1,
  "de_polymorph_mev_per_atom": 0.0,
  "lattice_angstrom": [[0.0000, 3.0011, 3.0011], [3.0011, 0.0000, 3.0011], [3.0011, 3.0011, 0.0000]],
  "species": ["Ag", "Os", "W"],
  "fractional_positions": [[0.0000, 0.0000, 0.0000], [0.5000, 0.5000, 0.5000], [0.2500, 0.2500, 0.2500]]
}

***

No. 6
{
  "formula": "Cs2S3",
  "functional": "GGA-PBEsol",
  "state": "optimized geometry",
  "spacegroup": "Cmc2_1",
  "rho_g_cm3": 3.648,
  "crystal_system": "orthorhombic",
  "formation_energy_uncorrected_mev_per_atom": -857,
  "energy_ev_per_cell": -38.6,
  "lattice_angstrom": [[3.7756, -5.4808, 0.0000], [3.7756, 5.4808, 0.0000], [0.0000, 0.0000, 7.9619]],
  "species": ["Cs", "Cs", "Cs", "Cs", "S", "S", "S", "S", "S", "S"],
  "fractional_positions": [[0.0767, 0.9233, 0.5000], [0.3976, 0.6024, 0.7275], [0.6024, 0.3976, 0.2275], [0.9233, 0.0767, 0.0000], [0.1152, 0.4402, 0.3435], [0.2966, 0.7034, 0.1993], [0.4402, 0.1152, 0.8435], [0.5598, 0.8848, 0.3435], [0.7034, 0.2966, 0.6993], [0.8848, 0.5598, 0.8435]]
}